{
  "formula": "Al2Pd2Ru",
  "functional": "PBE-GGA",
  "state": "optimized geometry",
  "e_form_ev_per_atom": -0.49,
  "dft_energy_ha_per_atom": -0.2175,
  "cell": [[7.156, 0.000, 0.000], [0.000, 7.156, 0.000], [0.000, 0.000, 2.868]],
  "species": ["Al", "Al", "Al", "Al", "Pd", "Pd", "Pd", "Pd", "Ru", "Ru"],
  "fractional_positions": [[0.152, 0.348, 0.000], [0.348, 0.848, 0.000], [0.652, 0.152, 0.000], [0.848, 0.652, 0.000], [0.147, 0.647, 0.500], [0.353, 0.147, 0.500], [0.647, 0.853, 0.500], [0.853, 0.353, 0.500], [0.000, 0.000, 0.000], [0.500, 0.500, 0.000]]
}